Entry 1:
Below is crystalline HoMg2CdPd4 at its relaxed geometry, with properties calculated at the PBE level.

Unit cell a=8.088 b=8.088 c=8.088 alpha=33.48 beta=33.48 gamma=33.48
Atoms (fractional coordinates):
Ho 0.000 0.000 0.000
Mg 0.245 0.245 0.245
Mg 0.755 0.755 0.755
Cd 0.500 0.500 0.500
Pd 0.124 0.124 0.124
Pd 0.378 0.378 0.378
Pd 0.622 0.622 0.622
Pd 0.876 0.876 0.876

- ΔH_f (0 K) (kJ per mole of atoms) = -67.1
- crystal system = trigonal
- space group = R-3m (166)

=====

Entry 2:
Below is crystalline HoMgCdPd at its relaxed geometry, with properties calculated at the PBE level.

Unit cell a=6.951 b=6.951 c=6.951 alpha=90.00 beta=90.00 gamma=90.00
Atoms (fractional coordinates):
Ho 0.000 0.000 0.000
Ho 0.000 0.500 0.500
Ho 0.500 0.000 0.500
Ho 0.500 0.500 0.000
Mg 0.000 0.000 0.500
Mg 0.000 0.500 0.000
Mg 0.500 0.000 0.000
Mg 0.500 0.500 0.500
Cd 0.250 0.250 0.750
Cd 0.250 0.750 0.250
Cd 0.750 0.250 0.250
Cd 0.750 0.750 0.750
Pd 0.250 0.250 0.250
Pd 0.250 0.750 0.750
Pd 0.750 0.250 0.750
Pd 0.750 0.750 0.250

- ΔH_f (0 K) (kJ per mole of atoms) = -48.1
- crystal system = cubic
- space group = F-43m (216)

=====

Entry 3:
Below is crystalline PrHoMg2Cd4 at its relaxed geometry, with properties calculated at the PBE level.

Unit cell a=8.949 b=8.949 c=8.949 alpha=33.35 beta=33.35 gamma=33.35
Atoms (fractional coordinates):
Pr 0.000 0.000 0.000
Ho 0.500 0.500 0.500
Mg 0.249 0.249 0.249
Mg 0.751 0.751 0.751
Cd 0.128 0.128 0.128
Cd 0.378 0.378 0.378
Cd 0.622 0.622 0.622
Cd 0.872 0.872 0.872

- ΔH_f (0 K) (kJ per mole of atoms) = -30.6
- crystal system = trigonal
- space group = R-3m (166)